Record 1
Here is crystalline NaSnTe3Au at its relaxed geometry from Alexandria via LeMat-Bulk. Energies are from GGA-PBE.

Lattice parameters (Å, degrees): 8.728 4.379 9.914 90.00 98.26 90.00
Fractional positions:
Na1 0.180 0.250 0.242
Na2 0.820 0.750 0.758
Sn1 0.324 0.750 0.875
Sn2 0.676 0.250 0.125
Te1 0.094 0.250 0.912
Te2 0.272 0.750 0.553
Te3 0.444 0.750 0.174
Te4 0.556 0.250 0.826
Te5 0.728 0.250 0.447
Te6 0.906 0.750 0.088
Au1 0.094 0.250 0.530
Au2 0.906 0.750 0.470

## Properties
As for the crystal system: monoclinic. The total energy comes out at -3.314 eV/atom.

---

Record 2
Here is crystalline NaTl2SnAu2 at its relaxed geometry from Alexandria via LeMat-Bulk. Energies are from GGA-PBE.

Lattice parameters (Å, degrees): 4.623 8.562 7.742 90.00 90.00 90.00
Fractional positions:
Na1 0.000 0.071 0.000
Na2 0.000 0.929 0.500
Tl1 0.000 0.323 0.344
Tl2 0.000 0.677 0.844
Tl3 0.500 0.410 0.029
Tl4 0.500 0.590 0.529
Sn1 0.500 0.186 0.657
Sn2 0.500 0.814 0.157
Au1 0.000 0.345 0.745
Au2 0.000 0.655 0.245
Au3 0.500 0.107 0.303
Au4 0.500 0.893 0.803

## Properties
As for the crystal system: orthorhombic. The total energy comes out at -2.964 eV/atom.

---

Record 3
Here is crystalline NaTmSnAu at its relaxed geometry from Alexandria via LeMat-Bulk. Energies are from GGA-PBE.

Lattice parameters (Å, degrees): 7.196 7.196 7.196 90.00 90.00 90.00
Fractional positions:
Na1 0.000 0.000 0.000
Na2 0.000 0.500 0.500
Na3 0.500 0.000 0.500
Na4 0.500 0.500 0.000
Tm1 0.000 0.000 0.500
Tm2 0.000 0.500 0.000
Tm3 0.500 0.000 0.000
Tm4 0.500 0.500 0.500
Sn1 0.250 0.250 0.250
Sn2 0.250 0.750 0.750
Sn3 0.750 0.250 0.750
Sn4 0.750 0.750 0.250
Au1 0.250 0.250 0.750
Au2 0.250 0.750 0.250
Au3 0.750 0.250 0.250
Au4 0.750 0.750 0.750

## Properties
As for the crystal system: cubic. The total energy comes out at -3.747 eV/atom.

---

Record 4
Here is crystalline NaYSnAu at its relaxed geometry from Alexandria via LeMat-Bulk. Energies are from GGA-PBE.

Lattice parameters (Å, degrees): 7.265 7.265 7.265 90.00 90.00 90.00
Fractional positions:
Na1 0.000 0.000 0.000
Na2 0.000 0.500 0.500
Na3 0.500 0.000 0.500
Na4 0.500 0.500 0.000
Y1 0.000 0.000 0.500
Y2 0.000 0.500 0.000
Y3 0.500 0.000 0.000
Y4 0.500 0.500 0.500
Sn1 0.250 0.250 0.750
Sn2 0.250 0.750 0.250
Sn3 0.750 0.250 0.250
Sn4 0.750 0.750 0.750
Au1 0.250 0.250 0.250
Au2 0.250 0.750 0.750
Au3 0.750 0.250 0.750
Au4 0.750 0.750 0.250

## Properties
As for the crystal system: cubic. The total energy comes out at -4.273 eV/atom.

---

Record 5
Here is crystalline Na2ZnSn3Au4 at its relaxed geometry from Alexandria via LeMat-Bulk. Energies are from GGA-PBE.

Lattice parameters (Å, degrees): 4.692 4.692 11.083 90.00 90.00 90.00
Fractional positions:
Na1 0.000 0.500 0.242
Na2 0.500 0.000 0.758
Zn1 0.000 0.000 0.500
Sn1 0.000 0.500 0.867
Sn2 0.500 0.000 0.133
Sn3 0.500 0.500 0.500
Au1 0.000 0.000 0.000
Au2 0.000 0.500 0.624
Au3 0.500 0.000 0.376
Au4 0.500 0.500 0.000

## Properties
As for the crystal system: tetragonal. The total energy comes out at -3.143 eV/atom.

---

Record 6
Here is crystalline Na2Zn2SnAu5 at its relaxed geometry from Alexandria via LeMat-Bulk. Energies are from GGA-PBE.

Lattice parameters (Å, degrees): 10.031 10.031 3.965 90.00 90.00 90.00
Fractional positions:
Na1 0.178 0.322 0.000
Na2 0.322 0.822 0.000
Na3 0.678 0.178 0.000
Na4 0.822 0.678 0.000
Zn1 0.120 0.620 0.000
Zn2 0.380 0.120 0.000
Zn3 0.620 0.880 0.000
Zn4 0.880 0.380 0.000
Sn1 0.000 0.000 0.000
Sn2 0.500 0.500 0.000
Au1 0.000 0.500 0.500
Au2 0.059 0.791 0.500
Au3 0.209 0.059 0.500
Au4 0.291 0.559 0.500
Au5 0.441 0.291 0.500
Au6 0.500 0.000 0.500
Au7 0.559 0.709 0.500
Au8 0.709 0.441 0.500
Au9 0.791 0.941 0.500
Au10 0.941 0.209 0.500

## Properties
As for the crystal system: tetragonal. The total energy comes out at -2.806 eV/atom.

---

Record 7
Here is crystalline NaZnSnAu at its relaxed geometry from Alexandria via LeMat-Bulk. Energies are from GGA-PBE.

Lattice parameters (Å, degrees): 6.927 6.927 6.927 90.00 90.00 90.00
Fractional positions:
Na1 0.000 0.000 0.000
Na2 0.000 0.500 0.500
Na3 0.500 0.000 0.500
Na4 0.500 0.500 0.000
Zn1 0.250 0.250 0.250
Zn2 0.250 0.750 0.750
Zn3 0.750 0.250 0.750
Zn4 0.750 0.750 0.250
Sn1 0.000 0.000 0.500
Sn2 0.000 0.500 0.000
Sn3 0.500 0.000 0.000
Sn4 0.500 0.500 0.500
Au1 0.250 0.250 0.750
Au2 0.250 0.750 0.250
Au3 0.750 0.250 0.250
Au4 0.750 0.750 0.750

## Properties
As for the crystal system: cubic. Its energy above the lowest structure with this stoichiometry is 0 meV per atom. The total energy comes out at -2.607 eV/atom.

---

Record 8
Here is crystalline NaZnSnAu at its relaxed geometry from Alexandria via LeMat-Bulk. Energies are from GGA-PBE.

Lattice parameters (Å, degrees): 8.564 4.721 4.957 90.00 104.49 90.00
Fractional positions:
Na1 0.000 0.000 0.000
Na2 0.500 0.500 0.000
Zn1 0.211 0.500 0.260
Zn2 0.711 0.000 0.260
Sn1 0.292 0.000 0.603
Sn2 0.792 0.500 0.603
Au1 0.125 0.500 0.725
Au2 0.625 0.000 0.725

## Properties
As for the crystal system: monoclinic. Its energy above the lowest structure with this stoichiometry is 5 meV per atom. The total energy comes out at -2.602 eV/atom.

---

Record 9
Here is crystalline NaZnSn2Au4 at its relaxed geometry from Alexandria via LeMat-Bulk. Energies are from GGA-PBE.

Lattice parameters (Å, degrees): 9.019 9.019 9.019 30.55 30.55 30.55
Fractional positions:
Na1 0.000 0.000 0.000
Zn1 0.500 0.500 0.500
Sn1 0.259 0.259 0.259
Sn2 0.741 0.741 0.741
Au1 0.147 0.147 0.147
Au2 0.394 0.394 0.394
Au3 0.606 0.606 0.606
Au4 0.853 0.853 0.853

## Properties
As for the crystal system: trigonal. The total energy comes out at -3.154 eV/atom.

---

Record 10
Here is crystalline Na2Zn3SnAu12 at its relaxed geometry from Alexandria via LeMat-Bulk. Energies are from GGA-PBE.

Lattice parameters (Å, degrees): 10.218 10.218 10.218 40.70 40.70 40.70
Fractional positions:
Na1 0.149 0.149 0.149
Na2 0.851 0.851 0.851
Zn1 0.000 0.500 0.500
Zn2 0.500 0.000 0.500
Zn3 0.500 0.500 0.000
Sn1 0.500 0.500 0.500
Au1 0.088 0.088 0.689
Au2 0.088 0.689 0.088
Au3 0.137 0.574 0.574
Au4 0.311 0.912 0.912
Au5 0.426 0.426 0.863
Au6 0.426 0.863 0.426
Au7 0.574 0.137 0.574
Au8 0.574 0.574 0.137
Au9 0.689 0.088 0.088
Au10 0.863 0.426 0.426
Au11 0.912 0.311 0.912
Au12 0.912 0.912 0.311

## Properties
As for the crystal system: trigonal. The total energy comes out at -2.817 eV/atom.

---

Record 11
Here is crystalline Na2ZnSnAu6 at its relaxed geometry from Alexandria via LeMat-Bulk. Energies are from GGA-PBE.

Lattice parameters (Å, degrees): 7.225 7.225 7.225 60.00 60.00 60.00
Fractional positions:
Na1 0.250 0.250 0.250
Na2 0.750 0.750 0.750
Zn1 0.000 0.000 0.000
Sn1 0.500 0.500 0.500
Au1 0.241 0.241 0.759
Au2 0.241 0.759 0.241
Au3 0.241 0.759 0.759
Au4 0.759 0.241 0.241
Au5 0.759 0.241 0.759
Au6 0.759 0.759 0.241

## Properties
As for the crystal system: cubic. The total energy comes out at -2.736 eV/atom.

---

Record 12
Here is crystalline Na2SrAu at its relaxed geometry from Alexandria via LeMat-Bulk. Energies are from GGA-PBE.

Lattice parameters (Å, degrees): 4.556 4.556 24.575 90.00 90.00 90.00
Fractional positions:
Na1 0.212 0.250 0.125
Na2 0.250 0.712 0.375
Na3 0.250 0.788 0.875
Na4 0.288 0.250 0.625
Na5 0.712 0.750 0.625
Na6 0.750 0.212 0.875
Na7 0.750 0.288 0.375
Na8 0.788 0.750 0.125
Sr1 0.000 0.000 0.500
Sr2 0.000 0.500 0.750
Sr3 0.500 0.000 0.250
Sr4 0.500 0.500 0.000
Au1 0.000 0.000 0.000
Au2 0.000 0.500 0.250
Au3 0.500 0.000 0.750
Au4 0.500 0.500 0.500

## Properties
As for the crystal system: tetragonal. Its energy above the lowest structure with this stoichiometry is 114 meV per atom. The total energy comes out at -2.114 eV/atom.

---

Record 13
Here is crystalline Na2SrAu at its relaxed geometry from Alexandria via LeMat-Bulk. Energies are from GGA-PBE.

Lattice parameters (Å, degrees): 4.719 11.140 9.571 90.00 90.00 90.00
Fractional positions:
Na1 0.000 0.159 0.057
Na2 0.000 0.159 0.443
Na3 0.000 0.841 0.557
Na4 0.000 0.841 0.943
Na5 0.500 0.341 0.557
Na6 0.500 0.341 0.943
Na7 0.500 0.659 0.057
Na8 0.500 0.659 0.443
Sr1 0.000 0.451 0.250
Sr2 0.000 0.549 0.750
Sr3 0.500 0.049 0.750
Sr4 0.500 0.951 0.250
Au1 0.000 0.251 0.750
Au2 0.000 0.749 0.250
Au3 0.500 0.249 0.250
Au4 0.500 0.751 0.750

## Properties
As for the crystal system: orthorhombic. Its energy above the lowest structure with this stoichiometry is 0 meV per atom. The total energy comes out at -2.228 eV/atom.

---

Record 14
Here is crystalline Na2Sr3Au3 at its relaxed geometry from Alexandria via LeMat-Bulk. Energies are from GGA-PBE.

Lattice parameters (Å, degrees): 9.387 9.387 6.378 90.00 90.00 120.00
Fractional positions:
Na1 0.333 0.667 0.000
Na2 0.333 0.667 0.500
Na3 0.667 0.333 0.000
Na4 0.667 0.333 0.500
Sr1 0.000 0.281 0.250
Sr2 0.000 0.719 0.750
Sr3 0.281 0.000 0.250
Sr4 0.281 0.281 0.750
Sr5 0.719 0.000 0.750
Sr6 0.719 0.719 0.250
Au1 0.000 0.378 0.750
Au2 0.000 0.622 0.250
Au3 0.378 0.000 0.750
Au4 0.378 0.378 0.250
Au5 0.622 0.000 0.250
Au6 0.622 0.622 0.750

## Properties
As for the crystal system: hexagonal. The total energy comes out at -2.741 eV/atom.

---

Record 15
Here is crystalline Na3SrAu at its relaxed geometry from Alexandria via LeMat-Bulk. Energies are from GGA-PBE.

Lattice parameters (Å, degrees): 6.870 6.870 6.870 90.00 90.00 90.00
Fractional positions:
Na1 0.000 0.000 0.500
Na2 0.000 0.500 0.000
Na3 0.500 0.000 0.000
Sr1 0.000 0.000 0.000
Au1 0.500 0.500 0.500

## Properties
As for the crystal system: cubic. Its energy above the lowest structure with this stoichiometry is 868 meV per atom. The total energy comes out at -0.967 eV/atom.

---

Record 16
Here is crystalline NaSr4Au at its relaxed geometry from Alexandria via LeMat-Bulk. Energies are from GGA-PBE.

Lattice parameters (Å, degrees): 9.998 9.998 7.736 106.17 106.17 117.27
Fractional positions:
Na1 0.114 0.886 0.750
Na2 0.886 0.114 0.250
Sr1 0.153 0.568 0.361
Sr2 0.235 0.333 0.784
Sr3 0.333 0.235 0.284
Sr4 0.432 0.847 0.139
Sr5 0.568 0.153 0.861
Sr6 0.667 0.765 0.716
Sr7 0.765 0.667 0.216
Sr8 0.847 0.432 0.639
Au1 0.428 0.572 0.250
Au2 0.572 0.428 0.750

## Properties
As for the crystal system: monoclinic. Its energy above the lowest structure with this stoichiometry is 52 meV per atom. The total energy comes out at -2.093 eV/atom.

---

Record 17
Here is crystalline Na2SrAu at its relaxed geometry from Alexandria via LeMat-Bulk. Energies are from GGA-PBE.

Lattice parameters (Å, degrees): 7.663 7.663 7.663 90.00 90.00 90.00
Fractional positions:
Na1 0.250 0.250 0.250
Na2 0.250 0.250 0.750
Na3 0.250 0.750 0.250
Na4 0.250 0.750 0.750
Na5 0.750 0.250 0.250
Na6 0.750 0.250 0.750
Na7 0.750 0.750 0.250
Na8 0.750 0.750 0.750
Sr1 0.000 0.000 0.000
Sr2 0.000 0.500 0.500
Sr3 0.500 0.000 0.500
Sr4 0.500 0.500 0.000
Au1 0.000 0.000 0.500
Au2 0.000 0.500 0.000
Au3 0.500 0.000 0.000
Au4 0.500 0.500 0.500

## Properties
As for the crystal system: cubic. Its energy above the lowest structure with this stoichiometry is 216 meV per atom. The total energy comes out at -2.012 eV/atom.

---

Record 18
Here is crystalline NaSr6Au at its relaxed geometry from Alexandria via LeMat-Bulk. Energies are from GGA-PBE.

Lattice parameters (Å, degrees): 8.007 8.018 8.639 62.44 62.54 60.08
Fractional positions:
Na1 0.000 0.000 0.000
Sr1 0.086 0.715 0.738
Sr2 0.284 0.538 0.261
Sr3 0.461 0.085 0.739
Sr4 0.539 0.915 0.261
Sr5 0.716 0.462 0.739
Sr6 0.914 0.285 0.262
Au1 0.500 0.500 0.500

## Properties
As for the crystal system: triclinic. The total energy comes out at -1.963 eV/atom.

---

Record 19
Here is crystalline NaSr6Au3 at its relaxed geometry from Alexandria via LeMat-Bulk. Energies are from GGA-PBE.

Lattice parameters (Å, degrees): 13.484 4.639 13.570 90.00 108.53 90.00
Fractional positions:
Na1 0.063 0.250 0.196
Na2 0.937 0.750 0.804
Sr1 0.069 0.750 0.413
Sr2 0.155 0.250 0.963
Sr3 0.222 0.750 0.733
Sr4 0.308 0.750 0.238
Sr5 0.382 0.250 0.538
Sr6 0.478 0.250 0.108
Sr7 0.522 0.750 0.892
Sr8 0.618 0.750 0.462
Sr9 0.692 0.250 0.762
Sr10 0.778 0.250 0.267
Sr11 0.845 0.750 0.037
Sr12 0.931 0.250 0.587
Au1 0.159 0.250 0.571
Au2 0.323 0.750 0.990
Au3 0.467 0.250 0.338
Au4 0.533 0.750 0.662
Au5 0.677 0.250 0.010
Au6 0.841 0.750 0.429

## Properties
As for the crystal system: monoclinic. The total energy comes out at -2.597 eV/atom.

---

Record 20
Here is crystalline Na3SrAu at its relaxed geometry from Alexandria via LeMat-Bulk. Energies are from GGA-PBE.

Lattice parameters (Å, degrees): 5.701 5.701 5.701 90.00 90.00 90.00
Fractional positions:
Na1 0.000 0.000 0.500
Na2 0.000 0.500 0.000
Na3 0.500 0.000 0.000
Sr1 0.500 0.500 0.500
Au1 0.000 0.000 0.000

## Properties
As for the crystal system: cubic. Its energy above the lowest structure with this stoichiometry is 0 meV per atom. The total energy comes out at -1.835 eV/atom.